The following is a DFT calculation (PBE) of a relaxed structure of Nb2Co3Pt2.

Results
D(E_F)	15.36	states/eV per cell
final energy	-107.0	eV per cell
total moment	0.00	μB/f.u.
E above lowest polymorph	367	meV/atom

Cell lengths 6.4803, 6.4803, 6.4803 Å; angles 109.47, 109.47, 109.47 degrees
Fractional coordinates of all 14 atoms:
Pt1 0.3741 0.5000 0.0000
Pt2 0.0000 0.0000 0.8741
Pt3 0.1259 0.6259 0.6259
Pt4 0.5000 0.8741 0.5000
Nb1 0.5000 0.4867 0.5000
Nb2 0.0000 0.0000 0.4867
Nb3 0.9867 0.5000 0.0000
Nb4 0.5133 0.0133 0.0133
Co1 0.9794 0.2294 0.2500
Co2 0.7294 0.2500 0.4794
Co3 0.5206 0.2706 0.7500
Co4 0.2500 0.0206 0.2706
Co5 0.7500 0.4794 0.2294
Co6 0.7706 0.7500 0.0206